A plane-wave DFT calculation with PBE-GGA was carried out for a relaxed structure of Ce4AlPb.

Cell lengths 5.381, 6.060, 6.060 Å; angles 94.68, 63.65, 63.65 degrees
Fractional coordinates of all 6 atoms:
Ce 0.759 0.587 0.895
Ce 0.759 0.895 0.587
Ce 0.241 0.413 0.105
Ce 0.241 0.105 0.413
Al 0.500 0.500 0.500
Pb 0.000 0.000 0.000

Properties
Calculated formation energy   -0.1836 eV per atom
Total DFT energy (no corrections)   -32.3 eV per formula unit
Crystal system   orthorhombic
Calculated volume   24.8 Å³/atom

---

A plane-wave DFT calculation with PBE-GGA was carried out for a relaxed structure of Ce9Al2Pb.

Cell lengths 4.728, 4.728, 14.217 Å; angles 90.00, 90.00, 90.00 degrees
Fractional coordinates of all 12 atoms:
Ce 0.500 0.500 0.000
Ce 0.500 0.500 0.341
Ce 0.500 0.500 0.659
Ce 0.500 0.000 0.175
Ce 0.500 0.000 0.500
Ce 0.500 0.000 0.825
Ce 0.000 0.500 0.175
Ce 0.000 0.500 0.500
Ce 0.000 0.500 0.825
Al 0.000 0.000 0.336
Al 0.000 0.000 0.664
Pb 0.000 0.000 0.000

Properties
Calculated formation energy   -0.1918 eV per atom
Total DFT energy (no corrections)   -66.9 eV per formula unit
Crystal system   tetragonal
Calculated volume   26.5 Å³/atom

---

A plane-wave DFT calculation with PBE-GGA was carried out for a relaxed structure of Ce5AlPb4.

Cell lengths 3.506, 3.506, 22.896 Å; angles 90.00, 90.00, 90.00 degrees
Fractional coordinates of all 10 atoms:
Ce 0.500 0.500 0.088
Ce 0.500 0.500 0.296
Ce 0.500 0.500 0.500
Ce 0.500 0.500 0.704
Ce 0.500 0.500 0.912
Al 0.000 0.000 0.000
Pb 0.000 0.000 0.193
Pb 0.000 0.000 0.398
Pb 0.000 0.000 0.602
Pb 0.000 0.000 0.807

Properties
Calculated formation energy   -0.3606 eV per atom
Total DFT energy (no corrections)   -51.9 eV per formula unit
Crystal system   tetragonal
Calculated volume   28.1 Å³/atom

---

A plane-wave DFT calculation with PBE-GGA was carried out for a relaxed structure of Ce8Al2Pb.

Cell lengths 4.814, 8.060, 8.736 Å; angles 113.95, 105.99, 90.00 degrees
Fractional coordinates of all 11 atoms:
Ce 0.654 0.875 0.307
Ce 0.350 0.569 0.701
Ce 0.177 0.104 0.354
Ce 0.013 0.343 0.026
Ce 0.823 0.896 0.646
Ce 0.650 0.431 0.299
Ce 0.346 0.125 0.693
Ce 0.987 0.657 0.974
Al 0.196 0.702 0.392
Al 0.804 0.298 0.608
Pb 0.500 0.000 0.000

Properties
Calculated formation energy   -0.1392 eV per atom
Total DFT energy (no corrections)   -60.2 eV per formula unit
Crystal system   monoclinic
Calculated volume   26.9 Å³/atom

---

A plane-wave DFT calculation with PBE-GGA was carried out for a relaxed structure of Ce6AlPb.

Cell lengths 4.754, 4.754, 9.531 Å; angles 90.00, 90.00, 90.00 degrees
Fractional coordinates of all 8 atoms:
Ce 0.500 0.500 0.000
Ce 0.500 0.500 0.500
Ce 0.500 0.000 0.260
Ce 0.500 0.000 0.740
Ce 0.000 0.500 0.260
Ce 0.000 0.500 0.740
Al 0.000 0.000 0.500
Pb 0.000 0.000 0.000

Properties
Calculated formation energy   -0.2104 eV per atom
Total DFT energy (no corrections)   -44.7 eV per formula unit
Crystal system   tetragonal
Calculated volume   26.9 Å³/atom

---

A plane-wave DFT calculation with PBE-GGA was carried out for a relaxed structure of CeAlPb2.

Cell lengths 4.667, 4.759, 4.759 Å; angles 90.00, 90.00, 90.00 degrees
Fractional coordinates of all 4 atoms:
Pb 0.000 0.000 0.500
Pb 0.000 0.500 0.000
Al 0.500 0.500 0.500
Ce 0.500 0.000 0.000

Properties
Offset from the most stable computed form   0 meV per atom
Calculated formation energy   -0.2808 eV per atom
Total DFT energy (no corrections)   -18.2 eV per formula unit
Crystal system   tetragonal
Calculated volume   26.4 Å³/atom

---

A plane-wave DFT calculation with PBE-GGA was carried out for a relaxed structure of CeAl4Pb.

Cell lengths 5.665, 5.665, 5.665 Å; angles 60.00, 60.00, 60.00 degrees
Fractional coordinates of all 6 atoms:
Pb 0.250 0.250 0.250
Al 0.625 0.625 0.125
Al 0.625 0.125 0.625
Al 0.625 0.625 0.625
Al 0.125 0.625 0.625
Ce 0.000 0.000 0.000

Properties
Calculated formation energy   -0.1195 eV per atom
Total DFT energy (no corrections)   -25.3 eV per formula unit
Crystal system   cubic
Calculated volume   21.4 Å³/atom

---

A plane-wave DFT calculation with PBE-GGA was carried out for a relaxed structure of Ce6AlPb2.

Cell lengths 3.188, 9.092, 9.092 Å; angles 120.00, 90.00, 90.00 degrees
Fractional coordinates of all 9 atoms:
Ce 0.500 0.315 0.315
Ce 0.500 0.685 0.685
Ce 0.500 0.000 0.685
Ce 0.500 0.685 0.000
Ce 0.500 0.315 0.000
Ce 0.500 0.000 0.315
Al 0.000 0.000 0.000
Pb 0.000 0.333 0.667
Pb 0.000 0.667 0.333

Properties
Calculated formation energy   -0.1892 eV per atom
Total DFT energy (no corrections)   -48.5 eV per formula unit
Crystal system   hexagonal
Calculated volume   25.4 Å³/atom

---

A plane-wave DFT calculation with PBE-GGA was carried out for a relaxed structure of Ce3AlPb2.

Cell lengths 3.453, 3.453, 13.752 Å; angles 90.00, 90.00, 90.00 degrees
Fractional coordinates of all 6 atoms:
Ce 0.000 0.000 0.000
Ce 0.000 0.000 0.649
Ce 0.000 0.000 0.351
Al 0.500 0.500 0.500
Pb 0.500 0.500 0.826
Pb 0.500 0.500 0.174

Properties
Calculated formation energy   -0.3505 eV per atom
Total DFT energy (no corrections)   -31.1 eV per formula unit
Crystal system   tetragonal
Calculated volume   27.3 Å³/atom

---

A plane-wave DFT calculation with PBE-GGA was carried out for a relaxed structure of CePrAlPb.

Cell lengths 5.453, 5.453, 5.453 Å; angles 60.00, 60.00, 60.00 degrees
Fractional coordinates of all 4 atoms:
Pb 0.000 0.000 0.000
Pr 0.750 0.750 0.750
Al 0.500 0.500 0.500
Ce 0.250 0.250 0.250

Properties
Calculated formation energy   -0.2941 eV per atom
Total DFT energy (no corrections)   -19.3 eV per formula unit
Crystal system   cubic
Calculated volume   28.7 Å³/atom

---

A plane-wave DFT calculation with PBE-GGA was carried out for a relaxed structure of CePuAlPb.

Cell lengths 5.348, 5.348, 5.348 Å; angles 60.00, 60.00, 60.00 degrees
Fractional coordinates of all 4 atoms:
Pb 0.750 0.750 0.750
Al 0.250 0.250 0.250
Ce 0.500 0.500 0.500
Pu 0.000 0.000 0.000

Properties
Calculated formation energy   -0.1222 eV per atom
Total DFT energy (no corrections)   -28.2 eV per formula unit
Crystal system   cubic
Calculated volume   27.0 Å³/atom

---

A plane-wave DFT calculation with PBE-GGA was carried out for a relaxed structure of CeAlPbS4.

Cell lengths 6.663, 6.634, 8.100 Å; angles 90.00, 107.26, 90.00 degrees
Fractional coordinates of all 14 atoms:
Ce 0.772 0.750 0.443
Ce 0.228 0.250 0.557
Al 0.235 0.750 0.309
Al 0.765 0.250 0.691
Pb 0.745 0.750 0.932
Pb 0.255 0.250 0.068
S 0.996 0.505 0.740
S 0.004 0.005 0.260
S 0.004 0.495 0.260
S 0.996 0.995 0.740
S 0.434 0.750 0.131
S 0.566 0.250 0.869
S 0.429 0.750 0.588
S 0.571 0.250 0.412

Properties
E_form (uncorrected)   -1.197 eV per atom
Total DFT energy (no corrections)   -38.3 eV per formula unit
Crystal system   monoclinic
Calculated volume   24.4 Å³/atom